Record 1
The following is a PBE-GGA calculation of crystalline Gd5Ni2Te2 at its relaxed geometry, from the Open Quantum Materials Database.

abc: 7.820 7.820 15.053
angles: 90.00 90.00 150.30
Atoms (fractional coordinates):
Gd1 0.040 0.960 0.624
Gd2 0.040 0.960 0.876
Gd3 0.259 0.741 0.127
Gd4 0.259 0.741 0.373
Gd5 0.394 0.606 0.750
Gd6 0.606 0.394 0.250
Gd7 0.741 0.259 0.627
Gd8 0.741 0.259 0.873
Gd9 0.960 0.040 0.124
Gd10 0.960 0.040 0.376
Ni1 0.186 0.814 0.750
Ni2 0.412 0.588 0.250
Ni3 0.588 0.412 0.750
Ni4 0.814 0.186 0.250
Te1 0.385 0.615 0.540
Te2 0.385 0.615 0.960
Te3 0.615 0.385 0.040
Te4 0.615 0.385 0.460



Record 2
The following is a PBE-GGA calculation of crystalline GdTlNiTe3 at its relaxed geometry, from the Open Quantum Materials Database.

abc: 12.596 4.264 12.764
angles: 90.00 90.00 90.00
Atoms (fractional coordinates):
Gd1 0.040 0.250 0.192
Gd2 0.460 0.750 0.692
Gd3 0.540 0.250 0.308
Gd4 0.960 0.750 0.808
Tl1 0.196 0.250 0.499
Tl2 0.304 0.750 0.999
Tl3 0.696 0.250 0.001
Tl4 0.804 0.750 0.501
Ni1 0.234 0.750 0.318
Ni2 0.266 0.250 0.818
Ni3 0.734 0.750 0.182
Ni4 0.766 0.250 0.682
Te1 0.037 0.750 0.363
Te2 0.097 0.250 0.935
Te3 0.213 0.750 0.722
Te4 0.287 0.250 0.222
Te5 0.403 0.750 0.435
Te6 0.463 0.250 0.863
Te7 0.537 0.750 0.137
Te8 0.597 0.250 0.565
Te9 0.713 0.750 0.778
Te10 0.787 0.250 0.278
Te11 0.903 0.750 0.065
Te12 0.963 0.250 0.637



Number 1: DFT total energy -0.1961 Ha/atom. Number 2: DFT total energy -0.1584 Ha/atom.